No. 1
The following is a DFT calculation (GGA-PBEsol) of a relaxed structure of CsLi3Au.

Output
Its symmetry is Pm-3m, No. 221. For the final energy, the calculation gives -2.212 eV/atom. The total moment comes out at 0.0 μB per formula unit. The energy of formation from the pure elements is -0.059 eV per atom.

Cell and atoms, written as POSCAR:
```
CsLi3Au
1.0
-0.3737 -4.0264 -3.3542
5.0669 -1.1359 0.7991
-1.3376 -3.1781 3.9640
Cs Au Li
1 1 3
direct
0.5000 0.5000 0.5000
0.0000 0.0000 0.0000
0.0000 0.5000 0.0000
0.0000 0.0000 0.5000
0.5000 0.0000 0.0000
```



No. 2
The following is a DFT calculation (GGA-PBEsol) of a relaxed structure of CsLiZrAu2.

Output
Its symmetry is P4/mmm, No. 123. For the final energy, the calculation gives -3.343 eV/atom. The total moment comes out at 1.5 μB per formula unit. The energy of formation from the pure elements is 0.627 eV per atom.

Cell and atoms, written as POSCAR:
```
CsLiZrAu2
1.0
-1.3512 4.3687 1.2546
-1.9926 -1.7705 4.0192
4.1713 0.6180 2.3403
Cs Au Zr Li
1 2 1 1
direct
0.5000 0.0000 0.0000
0.0000 0.0000 0.5000
0.0000 0.5000 0.0000
0.5000 0.5000 0.5000
0.0000 0.0000 0.0000
```



No. 3
The following is a DFT calculation (GGA-PBEsol) of a relaxed structure of Cs2MgAu2.

Output
Its symmetry is I4/mmm, No. 139. For the final energy, the calculation gives -2.349 eV/atom. The total moment comes out at 0.0 μB per formula unit. The energy of formation from the pure elements is -0.059 eV per atom.

Cell and atoms, written as POSCAR:
```
Cs2MgAu2
1.0
6.2955 -0.0337 -0.0539
-2.4968 5.7793 0.0539
-2.4968 -2.4777 5.2215
Cs Mg Au
2 1 2
direct
0.5000 0.7500 0.2500
0.5000 0.2500 0.7500
0.0000 0.0000 0.0000
0.0000 0.6692 0.6692
0.0000 0.3308 0.3308
```



No. 4
The following is a DFT calculation (GGA-PBEsol) of a relaxed structure of CsMoOsAu2.

Output
Its symmetry is P4/mmm, No. 123. For the final energy, the calculation gives -3.023 eV/atom. The total moment comes out at 5.4 μB per formula unit. The energy of formation from the pure elements is 3.532 eV per atom.

Cell and atoms, written as POSCAR:
```
CsMoOsAu2
1.0
5.2095 0.0000 0.0000
0.0000 5.2095 0.0000
0.0000 0.0000 5.0502
Cs Os Mo Au
1 1 1 2
direct
0.0000 0.0000 0.0000
0.5000 0.5000 0.5000
0.0000 0.0000 0.5000
0.0000 0.5000 0.0000
0.5000 0.0000 0.0000
```



No. 5
The following is a DFT calculation (GGA-PBEsol) of a relaxed structure of CsMo2AuS.

Output
Its symmetry is P4/mmm, No. 123. For the final energy, the calculation gives -3.517 eV/atom. The total moment comes out at 3.9 μB per formula unit.

Cell and atoms, written as POSCAR:
```
CsMo2AuS
1.0
-2.1184 4.3394 1.5768
-2.8205 -2.5545 3.2408
3.5614 0.4760 3.4747
Cs Mo Au S
1 2 1 1
direct
0.0000 0.0000 0.0000
0.0000 0.0000 0.5000
0.0000 0.5000 0.0000
0.5000 0.5000 0.5000
0.5000 0.0000 0.0000
```



No. 6
The following is a DFT calculation (GGA-PBEsol) of a relaxed structure of CsAuN2.

Output
Its symmetry is R-3m, No. 166. For the final energy, the calculation gives -4.316 eV/atom. The total moment comes out at 0.0 μB per formula unit.

Cell and atoms, written as POSCAR:
```
CsAuN2
1.0
-2.2371 -2.1139 -1.4046
0.2124 -3.3245 0.5905
-4.9757 -1.0696 5.4598
Cs Au N
1 1 2
direct
0.0000 0.0000 0.0000
0.5000 0.5000 0.5000
0.8741 0.8741 0.3778
0.1259 0.1259 0.6222
```



No. 7
The following is a DFT calculation (GGA-PBEsol) of a relaxed structure of CsAuNO2.

Output
Its symmetry is P4/mmm, No. 123. For the final energy, the calculation gives -4.269 eV/atom. The total moment comes out at 0.8 μB per formula unit.

Cell and atoms, written as POSCAR:
```
CsAuNO2
1.0
3.7986 0.0000 0.0000
0.0000 4.4260 0.0000
0.0000 0.0000 4.4260
Cs Au O N
1 1 2 1
direct
0.5000 0.5000 0.5000
0.0000 0.0000 0.0000
0.0000 0.0000 0.5000
0.0000 0.5000 0.0000
0.5000 0.0000 0.0000
```



No. 8
The following is a DFT calculation (GGA-PBEsol) of a relaxed structure of CsAuSe2N.

Output
Its symmetry is P4/mmm, No. 123. For the final energy, the calculation gives -3.690 eV/atom. The total moment comes out at 0.0 μB per formula unit.

Cell and atoms, written as POSCAR:
```
CsAuSe2N
1.0
3.6967 0.0000 0.0000
0.0000 5.7913 0.0000
0.0000 0.0000 5.7913
Cs Au Se N
1 1 2 1
direct
0.5000 0.5000 0.5000
0.0000 0.0000 0.0000
0.0000 0.0000 0.5000
0.0000 0.5000 0.0000
0.5000 0.0000 0.0000
```



No. 9
The following is a DFT calculation (GGA-PBEsol) of a relaxed structure of Cs2NaAu2.

Output
Its symmetry is P4/mbm, No. 127. For the final energy, the calculation gives -2.328 eV/atom. The total moment comes out at 0.0 μB per formula unit. The energy of formation from the pure elements is -0.101 eV per atom.

Cell and atoms, written as POSCAR:
```
Cs2NaAu2
1.0
-1.8204 4.3337 -0.8673
-3.9423 -3.1075 -7.2530
-7.1399 -2.0469 4.7578
Cs Na Au
4 2 4
direct
0.5000 0.1480 0.6480
0.5000 0.6480 0.8520
0.5000 0.8520 0.3520
0.5000 0.3520 0.1480
0.0000 0.0000 0.0000
0.0000 0.5000 0.5000
0.0000 0.3445 0.8445
0.0000 0.8445 0.6555
0.0000 0.6555 0.1555
0.0000 0.1555 0.3445
```



No. 10
The following is a DFT calculation (GGA-PBEsol) of a relaxed structure of Cs3NaAu.

Output
Its symmetry is Pm-3m, No. 221. For the final energy, the calculation gives -1.684 eV/atom. The total moment comes out at 0.0 μB per formula unit. The energy of formation from the pure elements is -0.054 eV per atom.

Cell and atoms, written as POSCAR:
```
Cs3NaAu
1.0
-2.3437 6.0750 -2.2732
-5.4897 -3.1452 -2.7454
-3.4550 0.8765 5.9044
Cs Na Au
3 1 1
direct
0.0000 0.5000 0.0000
0.0000 0.0000 0.5000
0.5000 0.0000 0.0000
0.5000 0.5000 0.5000
0.0000 0.0000 0.0000
```



No. 11
The following is a DFT calculation (GGA-PBEsol) of a relaxed structure of CsNa3Au.

Output
Its symmetry is Pm-3m, No. 221. For the final energy, the calculation gives -1.856 eV/atom. The total moment comes out at 0.0 μB per formula unit. The energy of formation from the pure elements is -0.042 eV per atom.

Cell and atoms, written as POSCAR:
```
CsNa3Au
1.0
-4.9083 0.3858 -3.1002
-2.4483 -4.0613 3.3708
-1.9405 4.1482 3.5886
Cs Na Au
1 3 1
direct
0.5000 0.5000 0.5000
0.0000 0.5000 0.0000
0.0000 0.0000 0.5000
0.5000 0.0000 0.0000
0.0000 0.0000 0.0000
```



No. 12
The following is a DFT calculation (GGA-PBEsol) of a relaxed structure of Cs2NaAu.

Output
Its symmetry is I-42d, No. 122. For the final energy, the calculation gives -1.858 eV/atom. The total moment comes out at 0.0 μB per formula unit. The energy of formation from the pure elements is -0.056 eV per atom.

Cell and atoms, written as POSCAR:
```
Cs2NaAu
1.0
5.8019 0.0000 0.0000
2.9010 9.0368 0.0000
2.9010 0.0000 9.0368
Cs Na Au
4 2 2
direct
0.7841 0.8409 0.3409
0.9659 0.1591 0.6591
0.3750 0.6591 0.8409
0.8750 0.3409 0.1591
0.5000 0.0000 0.0000
0.2500 0.5000 0.5000
0.0000 0.0000 0.0000
0.7500 0.5000 0.5000
```